No. 1
{"formula": "TlCdGa2Ni", "functional": "PBE-GGA", "state": "optimized geometry", "lattice": [[4.641, 0.000, 0.000], [0.000, 4.641, 0.000], [0.000, 0.000, 5.106]], "species": ["Cd", "Ni", "Tl", "Ga", "Ga"], "frac_coords": [[0.000, 0.000, 0.500], [0.000, 0.000, 0.000], [0.500, 0.500, 0.500], [0.000, 0.500, 0.000], [0.500, 0.000, 0.000]], "spacegroup": "No. 123", "volume_a3_per_atom": 21.99, "delta_e_f_mev_per_atom": -44.0, "e_above_lowest_polymorph_ev_per_atom": 0.000, "magnetic_moment_mub_per_fu": 0.00}

No. 2
{"formula": "TmCdGaNi", "functional": "PBE-GGA", "state": "optimized geometry", "lattice": [[4.690, 0.000, 0.000], [2.345, 4.061, 0.000], [2.345, 1.354, 3.829]], "species": ["Ni", "Tm", "Ga", "Cd"], "frac_coords": [[0.000, 0.000, 0.000], [0.250, 0.250, 0.250], [0.500, 0.500, 0.500], [0.750, 0.750, 0.750]], "spacegroup": "No. 216", "volume_a3_per_atom": 18.23, "delta_e_f_mev_per_atom": -293.2, "magnetic_moment_mub_per_fu": 0.00}

No. 3
{"formula": "Tm2CdGa2Ni5", "functional": "PBE-GGA", "state": "optimized geometry", "lattice": [[-2.665, 0.302, 2.358], [-0.710, -9.386, 0.400], [6.231, -0.171, 7.065]], "species": ["Ni", "Ni", "Ni", "Ni", "Ni", "Ni", "Ni", "Ni", "Ni", "Ni", "Tm", "Tm", "Tm", "Tm", "Ga", "Ga", "Ga", "Ga", "Cd", "Cd"], "frac_coords": [[0.500, 0.217, 0.062], [0.500, 0.562, 0.717], [0.500, 0.000, 0.500], [0.500, 0.500, 0.000], [0.500, 0.717, 0.438], [0.500, 0.283, 0.562], [0.500, 0.938, 0.217], [0.500, 0.783, 0.938], [0.500, 0.438, 0.283], [0.500, 0.062, 0.783], [0.000, 0.821, 0.679], [0.000, 0.321, 0.821], [0.000, 0.179, 0.321], [0.000, 0.679, 0.179], [0.000, 0.883, 0.383], [0.000, 0.617, 0.883], [0.000, 0.383, 0.117], [0.000, 0.117, 0.617], [0.000, 0.500, 0.500], [0.000, 0.000, 0.000]], "spacegroup": "No. 127", "volume_a3_per_atom": 15.85, "delta_e_f_mev_per_atom": -341.7, "magnetic_moment_mub_per_fu": 0.00}